Ce2InSi2Ir5: optimized geometry, GGA-PBE.

Computed properties:
The total moment is 0.93 μB/f.u. For the calculated total energy, the calculation gives -7.660 eV per atom. The formation energy (no corrections) comes out at -66 kJ per mole of atoms. The space-group type is No. 127.

The structure in POSCAR format:
```
Ce2InSi2Ir5
1.0
-1.9851 -0.6391 3.0015
6.6529 -6.5982 2.9951
4.8949 7.0904 4.7470
Ce In Si Ir
4 2 4 10
Direct
0.0000 0.6783 0.1783 Ce
0.0000 0.3217 0.8217 Ce
0.0000 0.1783 0.3217 Ce
0.0000 0.8217 0.6783 Ce
0.0000 0.0000 0.0000 In
0.0000 0.5000 0.5000 In
0.0000 0.1202 0.6202 Si
0.0000 0.8798 0.3798 Si
0.0000 0.6202 0.8798 Si
0.0000 0.3798 0.1202 Si
0.5000 0.2201 0.0685 Ir
0.5000 0.7799 0.9315 Ir
0.5000 0.0685 0.7799 Ir
0.5000 0.7201 0.4315 Ir
0.5000 0.9315 0.2201 Ir
0.5000 0.2799 0.5685 Ir
0.5000 0.5685 0.7201 Ir
0.5000 0.4315 0.2799 Ir
0.5000 0.5000 0.0000 Ir
0.5000 0.0000 0.5000 Ir
```